# PBE-GGA KLiTcIr, relaxed
# **Total moment**: 0.236 μB/f.u.
# **Energy**: -4.69 eV/atom
# **Excess energy over the best structure of this formula in the dataset**: 0.00 eV per formula unit
data_KLiTcIr
_space_group_name_H-M_alt 'F -4 3 m'
_space_group_IT_number 216
_space_group_name_Hall 'F -4 2 3'
_cell_length_a 6.4250
_cell_length_b 6.4250
_cell_length_c 6.4250
_cell_angle_alpha 90.00
_cell_angle_beta 90.00
_cell_angle_gamma 90.00
loop_
_atom_site_label
_atom_site_type_symbol
_atom_site_fract_x
_atom_site_fract_y
_atom_site_fract_z
K1 K 0.0000 0.0000 0.0000
Li1 Li 0.2500 0.2500 0.2500
Tc1 Tc 0.2500 0.2500 0.7500
Ir1 Ir 0.0000 0.0000 0.5000

# PBE-GGA TaCdFeGe, relaxed
# **Total moment**: 0.799 μB/f.u.
# **Energy**: -5.91 eV/atom
# **Excess energy over the best structure of this formula in the dataset**: 0.23 eV per formula unit
data_TaCdFeGe
_space_group_name_H-M_alt 'F -4 3 m'
_space_group_IT_number 216
_space_group_name_Hall 'F -4 2 3'
_cell_length_a 6.3863
_cell_length_b 6.3863
_cell_length_c 6.3863
_cell_angle_alpha 90.00
_cell_angle_beta 90.00
_cell_angle_gamma 90.00
loop_
_atom_site_label
_atom_site_type_symbol
_atom_site_fract_x
_atom_site_fract_y
_atom_site_fract_z
Ta1 Ta 0.0000 0.0000 0.0000
Cd1 Cd 0.2500 0.2500 0.2500
Fe1 Fe 0.2500 0.2500 0.7500
Ge1 Ge 0.0000 0.0000 0.5000

# PBE-GGA AgPdNO, relaxed
# **Energy**: -4.57 eV/atom
# **Excess energy over the best structure of this formula in the dataset**: 1.03 eV per formula unit
data_AgPdNO
_space_group_name_H-M_alt 'P 4/n m m'
_space_group_IT_number 129
_cell_length_a 3.9733
_cell_length_b 3.9733
_cell_length_c 6.8128
_cell_angle_alpha 90.00
_cell_angle_beta 90.00
_cell_angle_gamma 90.00
loop_
_space_group_symop_operation_xyz
'x,y,z'
'-x,-y,-z'
'-y+1/2,x,z'
'y+1/2,-x,-z'
'-x+1/2,-y+1/2,z'
'x+1/2,y+1/2,-z'
'y,-x+1/2,z'
'-y,x+1/2,-z'
'x+1/2,-y,-z'
'-x+1/2,y,z'
'-y,-x,-z'
'y,x,z'
'-x,y+1/2,-z'
'x,-y+1/2,z'
'y+1/2,x+1/2,-z'
'-y+1/2,-x+1/2,z'
loop_
_atom_site_label
_atom_site_type_symbol
_atom_site_fract_x
_atom_site_fract_y
_atom_site_fract_z
Ag1 Ag 0.2500 0.2500 0.1118
Pd1 Pd 0.2500 0.7500 0.5000
N1 N 0.2500 0.2500 0.6035
O1 O 0.2500 0.7500 0.0000

# PBE-GGA La3ZnCl3, relaxed
# **Total moment**: 0.001 μB/f.u.
# **Energy**: -4.58 eV/atom
data_La3ZnCl3
_space_group_name_H-M_alt 'P m -3 m'
_space_group_IT_number 221
_space_group_name_Hall '-P 4 2 3'
_cell_length_a 5.9433
_cell_length_b 5.9433
_cell_length_c 5.9433
_cell_angle_alpha 90.00
_cell_angle_beta 90.00
_cell_angle_gamma 90.00
loop_
_atom_site_label
_atom_site_type_symbol
_atom_site_fract_x
_atom_site_fract_y
_atom_site_fract_z
La1 La 0.0000 0.0000 0.5000
Zn1 Zn 0.0000 0.0000 0.0000
Cl1 Cl 0.0000 0.5000 0.5000

# PBE-GGA DyHoCo2Si2C, relaxed
# **Total moment**: 0.019 μB/f.u.
# **Energy**: -6.90 eV/atom
data_DyHoCo2Si2C
_space_group_name_H-M_alt 'C 1 m 1'
_space_group_IT_number 8
_space_group_name_Hall 'C -2y'
_cell_length_a 10.5576
_cell_length_b 3.8734
_cell_length_c 6.7885
_cell_angle_alpha 90.00
_cell_angle_beta 129.59
_cell_angle_gamma 90.00
loop_
_atom_site_label
_atom_site_type_symbol
_atom_site_fract_x
_atom_site_fract_y
_atom_site_fract_z
Dy1 Dy 0.0000 0.0000 0.0000
Ho1 Ho 0.3730 0.5000 0.4064
Co1 Co 0.1352 0.5000 0.7907
Co2 Co 0.2369 0.0000 0.6145
Si1 Si 0.0924 0.5000 0.4069
Si2 Si 0.2803 0.0000 0.9996
C1 C 0.4360 0.0000 0.7017

# PBE-GGA PrFeGe3, relaxed
# **Total moment**: 0.008 μB/f.u.
# **Energy**: -5.89 eV/atom
data_PrFeGe3
_space_group_name_H-M_alt 'I 4 m m'
_space_group_IT_number 107
_space_group_name_Hall 'I 4 -2'
_cell_length_a 4.3339
_cell_length_b 4.3339
_cell_length_c 9.9986
_cell_angle_alpha 90.00
_cell_angle_beta 90.00
_cell_angle_gamma 90.00
loop_
_atom_site_label
_atom_site_type_symbol
_atom_site_fract_x
_atom_site_fract_y
_atom_site_fract_z
Pr1 Pr 0.0000 0.0000 0.0000
Fe1 Fe 0.0000 0.0000 0.3334
Ge1 Ge 0.0000 0.0000 0.5602
Ge2 Ge 0.0000 0.5000 0.2438